Entry from the Alexandria database: PrInGe2 after structural relaxation (PBE-GGA).

Cell lengths 4.699, 4.699, 4.222 Å; angles 90.00, 90.00, 90.00 degrees
Space group P4/mmm (No. 123)
Symmetry-distinct sites (fractional):
Pr (0.000, 0.000, 0.000) [1 per cell]
In (0.500, 0.500, 0.000) [1 per cell]
Ge (0.000, 0.500, 0.500) [2 per cell]

=====

Entry from the Alexandria database: Pr5In2Ge2 after structural relaxation (PBE-GGA).

Cell lengths 16.382, 8.038, 8.126 Å; angles 90.00, 90.00, 90.00 degrees
Space group Cmce (No. 64)
Symmetry-distinct sites (fractional):
Pr (0.000, 0.000, 0.000) [4 per cell]
Pr (0.128, 0.187, 0.319) [16 per cell]
In (0.220, 0.000, 0.000) [8 per cell]
Ge (0.000, 0.117, 0.620) [8 per cell]

=====

Entry from the Alexandria database: PrInGe after structural relaxation (PBE-GGA).

Cell lengths 3.652, 3.652, 11.464 Å; angles 90.00, 90.00, 90.00 degrees
Space group I4mm (No. 107)
Symmetry-distinct sites (fractional):
Pr (0.000, 0.000, 0.000) [2 per cell]
In (0.000, 0.000, 0.304) [2 per cell]
Ge (0.000, 0.000, 0.680) [2 per cell]

=====

Entry from the Alexandria database: Pr12InGe5 after structural relaxation (PBE-GGA).

Cell lengths 9.957, 10.182, 10.736 Å; angles 90.00, 90.00, 90.00 degrees
Space group Immm (No. 71)
Symmetry-distinct sites (fractional):
Pr (0.000, 0.197, 0.237) [8 per cell]
Pr (0.207, 0.500, 0.177) [8 per cell]
Pr (0.229, 0.320, 0.500) [8 per cell]
In (0.000, 0.000, 0.500) [2 per cell]
Ge (0.000, 0.000, 0.000) [2 per cell]
Ge (0.000, 0.370, 0.000) [4 per cell]
Ge (0.000, 0.500, 0.382) [4 per cell]

=====

Entry from the Alexandria database: PrInGe after structural relaxation (PBE-GGA).

Cell lengths 4.3551, 4.3551, 30.6067 Å; angles 90.00, 90.00, 120.00 degrees
Space group R-3m (No. 166, hexagonal axes)
Symmetry-distinct sites (fractional):
Pr (0.0000, 0.0000, 0.0668) [6 per cell]
In (0.0000, 0.0000, 0.1924) [6 per cell]
Ge (0.0000, 0.0000, 0.3403) [6 per cell]

=====

Entry from the Alexandria database: PrInGe2 after structural relaxation (PBE-GGA).

Cell lengths 4.9844, 4.9844, 20.9513 Å; angles 90.00, 90.00, 120.00 degrees
Space group R-3m (No. 166, hexagonal axes)
Symmetry-distinct sites (fractional):
Pr (0.0000, 0.0000, 0.0000) [3 per cell]
In (0.0000, 0.0000, 0.5000) [3 per cell]
Ge (0.0000, 0.0000, 0.3757) [6 per cell]

=====

For reference, density by record: 7.144, 6.701, 7.134, 6.618, 6.508, 4.432 Mg/m³.
For reference, formation energy by record: -0.426, -0.582, -0.333, -0.540, -0.437, 0.211 eV/atom.